(1)
Entry from the Alexandria database: a relaxed structure of LiMg2CoAu (PBE).

Properties
The calculation puts the formation energy at 2.9 eV/f.u. As for the density: 5.64 g cm⁻³.

The structure in POSCAR format:
```
LiMg2CoAu
1.0
-0.3997 -4.5551 -0.8040
0.1496 -0.7514 4.1829
-4.6226 0.3648 0.2309
Mg Li Au Co
2 1 1 1
direct
0.5000 0.0000 0.0000
0.0000 0.0000 0.5000
0.0000 0.0000 0.0000
0.0000 0.5000 0.0000
0.5000 0.5000 0.5000
```

=====

(2)
Entry from the Alexandria database: a relaxed structure of Li5CoAuN2 (PBE).

Properties
As for the density: 4.23 g cm⁻³. The calculation puts the formation energy (no corrections) at -318 meV/atom.

The structure in POSCAR format:
```
Li5CoAuN2
1.0
-0.0939 2.1311 3.5126
-1.5305 -3.2787 1.9483
6.8657 -2.2754 1.5641
Co Li Au N
1 5 1 2
direct
0.0000 0.0000 0.0000
0.0000 0.5000 0.7747
0.5000 0.0000 0.2253
0.0000 0.5000 0.2253
0.0000 0.0000 0.5000
0.5000 0.0000 0.7747
0.5000 0.5000 0.5000
0.0000 0.0000 0.2305
0.0000 0.0000 0.7695
```

=====

(3)
Entry from the Alexandria database: a relaxed structure of LiCo2AuN (PBE).

Properties
As for the density: 9.83 g cm⁻³. The calculation puts the formation energy (no corrections) at -178 meV/atom.

The structure in POSCAR format:
```
LiCo2AuN
1.0
-2.8548 2.1296 0.9554
-1.7333 -0.9233 -3.1211
-1.7679 -3.2403 1.9404
Au Co N Li
1 2 1 1
direct
0.5000 0.5000 0.5000
0.5000 0.0000 0.0000
0.0000 0.5000 0.0000
0.0000 0.0000 0.0000
0.0000 0.0000 0.5000
```

=====

(4)
Entry from the Alexandria database: a relaxed structure of Li2CoAuN (PBE).

Properties
As for the density: 7.95 g cm⁻³. The calculation puts the formation energy (no corrections) at -329 meV/atom.

The structure in POSCAR format:
```
Li2CoAuN
1.0
4.1149 0.0000 0.0000
0.0000 4.1149 0.0000
0.0000 0.0000 3.5004
Li Co N Au
2 1 1 1
direct
0.0000 0.5000 0.0000
0.5000 0.0000 0.0000
0.0000 0.0000 0.5000
0.0000 0.0000 0.0000
0.5000 0.5000 0.5000
```